(1)
First-principles (PBE) data for a geometry-optimized K2SrMo structure, as listed in Alexandria via LeMat-Bulk.

Properties
Its relative energy among the computed polymorphs is 0.22 eV per formula unit. Its formation energy from the elements is 1.03 eV/atom.

```
K2SrMo
1.0
-4.219 5.528 -7.291
-2.111 2.989 -9.387
-4.590 -2.644 -1.413
Mo Sr K
1 1 2
Direct
0.750 0.750 0.750
0.250 0.250 0.250
0.417 0.417 0.583
0.083 0.083 0.917
```

---

(2)
First-principles (PBE) data for a geometry-optimized K2SrMo structure, as listed in Alexandria via LeMat-Bulk.

Properties
Its relative energy among the computed polymorphs is 0.50 eV per formula unit. Its formation energy from the elements is 1.10 eV/atom.

```
K2SrMo
1.0
-4.144 6.243 -0.090
-7.335 -0.184 -1.521
5.012 -3.461 4.365
Sr K Mo
1 2 1
Direct
0.750 0.250 0.500
0.000 0.000 0.000
0.500 0.500 0.000
0.250 0.750 0.500
```

---

(3)
First-principles (PBE) data for a geometry-optimized K2SrMo structure, as listed in Alexandria via LeMat-Bulk.

Properties
Its relative energy among the computed polymorphs is 0.97 eV per formula unit. Its formation energy from the elements is 1.22 eV/atom.

```
K2SrMo
1.0
0.000 4.493 4.493
4.493 0.000 4.493
4.493 4.493 0.000
K Mo Sr
2 1 1
Direct
0.250 0.250 0.250
0.750 0.750 0.750
0.500 0.500 0.500
0.000 0.000 0.000
```

---

(4)
First-principles (PBE) data for a geometry-optimized K2SrMo structure, as listed in Alexandria via LeMat-Bulk.

Properties
Its relative energy among the computed polymorphs is 0.43 eV per formula unit. Its formation energy from the elements is 1.09 eV/atom.

```
K2SrMo
1.0
-1.362 -10.932 7.741
2.530 -10.918 7.461
0.763 -8.763 10.193
K Mo Sr
2 1 1
Direct
0.231 0.231 0.231
0.003 0.003 0.003
0.495 0.495 0.495
0.770 0.770 0.770
```

---

(5)
First-principles (PBE) data for a geometry-optimized K2SrMo structure, as listed in Alexandria via LeMat-Bulk.

Properties
Its relative energy among the computed polymorphs is 0.92 eV per formula unit. Its formation energy from the elements is 1.21 eV/atom.

```
K2SrMo
1.0
7.445 -0.017 0.000
-4.001 6.278 0.000
0.000 0.000 3.835
Mo Sr K
1 1 2
Direct
0.500 0.000 0.500
0.000 0.500 0.500
0.500 0.500 0.000
0.000 0.000 0.000
```

---

(6)
First-principles (PBE) data for a geometry-optimized K2SrMo structure, as listed in Alexandria via LeMat-Bulk.

Properties
Its relative energy among the computed polymorphs is 0.85 eV per formula unit. Its formation energy from the elements is 1.19 eV/atom.

```
K2SrMo
1.0
-2.359 -0.829 2.966
-2.019 -5.125 -3.039
5.300 -3.934 3.114
K Mo Sr
2 1 1
Direct
0.000 0.000 0.476
0.000 0.000 0.024
0.500 0.500 0.250
0.500 0.500 0.750
```

---

(7)
First-principles (PBE) data for a geometry-optimized K2SrMo structure, as listed in Alexandria via LeMat-Bulk.

Properties
Its relative energy among the computed polymorphs is 0.57 eV per formula unit. Its formation energy from the elements is 1.12 eV/atom.

```
K2SrMo
1.0
-0.401 5.168 -2.970
-3.896 4.030 -2.065
0.192 5.005 7.037
Mo K Sr
1 2 1
Direct
0.499 0.499 0.447
0.767 0.767 0.713
0.999 0.999 0.027
0.235 0.235 0.312
```

---

(8)
First-principles (PBE) data for a geometry-optimized KSrMo2 structure, as listed in Alexandria via LeMat-Bulk.

Properties
Its relative energy among the computed polymorphs is 2.86 eV per formula unit. Its formation energy from the elements is 1.42 eV/atom.

```
KSrMo2
1.0
-4.713 2.756 -3.365
-1.810 -4.704 2.962
-1.405 0.832 2.280
Mo K Sr
2 1 1
Direct
0.000 0.500 0.500
0.000 0.000 0.000
0.500 0.000 0.500
0.500 0.500 0.000
```

---

(9)
First-principles (PBE) data for a geometry-optimized KSrMo2 structure, as listed in Alexandria via LeMat-Bulk.

Properties
Its relative energy among the computed polymorphs is 1.38 eV per formula unit. Its formation energy from the elements is 1.05 eV/atom.

```
KSrMo2
1.0
-5.075 2.414 1.736
-1.035 -2.926 1.041
2.600 0.335 7.135
Mo Sr K
2 1 1
Direct
0.000 0.026 0.136
0.000 0.474 0.364
0.500 0.250 0.250
0.500 0.750 0.750
```

---

(10)
First-principles (PBE) data for a geometry-optimized KSrMo3 structure, as listed in Alexandria via LeMat-Bulk.

Properties
Its relative energy among the computed polymorphs is 0.00 eV per formula unit. Its formation energy from the elements is 2.92 eV/atom.

```
KSrMo3
1.0
4.841 0.000 0.000
0.000 4.841 0.000
0.000 0.000 4.841
Mo K Sr
3 1 1
Direct
0.000 0.000 0.500
0.000 0.500 0.000
0.500 0.000 0.000
0.000 0.000 0.000
0.500 0.500 0.500
```

---

(11)
First-principles (PBE) data for a geometry-optimized KSrMo2 structure, as listed in Alexandria via LeMat-Bulk.

Properties
Its relative energy among the computed polymorphs is 2.81 eV per formula unit. Its formation energy from the elements is 1.41 eV/atom.

```
KSrMo2
1.0
6.385 0.000 0.000
3.949 5.017 0.000
-5.167 -2.509 2.789
Sr Mo K
1 2 1
Direct
0.250 0.750 0.500
0.500 0.500 0.000
0.000 0.000 0.000
0.750 0.250 0.500
```

---

(12)
First-principles (PBE) data for a geometry-optimized KSrMo2 structure, as listed in Alexandria via LeMat-Bulk.

Properties
Its relative energy among the computed polymorphs is 1.01 eV per formula unit. Its formation energy from the elements is 0.96 eV/atom.

```
KSrMo2
1.0
-6.105 1.943 1.816
-4.269 -4.733 1.930
5.658 3.390 0.918
Mo K Sr
2 1 1
Direct
0.808 0.308 0.500
0.948 0.948 0.000
0.225 0.725 0.500
0.520 0.520 0.000
```

---

(13)
First-principles (PBE) data for a geometry-optimized KSrMo2 structure, as listed in Alexandria via LeMat-Bulk.

Properties
Its relative energy among the computed polymorphs is 2.93 eV per formula unit. Its formation energy from the elements is 1.44 eV/atom.

```
KSrMo2
1.0
6.382 -0.012 0.000
-3.948 5.015 0.000
0.000 0.000 2.816
K Sr Mo
1 1 2
Direct
0.000 0.500 0.500
0.500 0.000 0.500
0.000 0.000 0.000
0.500 0.500 0.000
```

---

(14)
First-principles (PBE) data for a geometry-optimized KSrMo2 structure, as listed in Alexandria via LeMat-Bulk.

Properties
Its relative energy among the computed polymorphs is 2.80 eV per formula unit. Its formation energy from the elements is 1.41 eV/atom.

```
KSrMo2
1.0
3.702 0.000 0.000
0.000 4.196 0.000
0.000 0.000 5.740
Mo Sr K
2 1 1
Direct
0.500 0.500 0.000
0.000 0.000 0.000
0.500 0.000 0.500
0.000 0.500 0.500
```

---

(15)
First-principles (PBE) data for a geometry-optimized K2SrMo structure, as listed in Alexandria via LeMat-Bulk.

Properties
Its relative energy among the computed polymorphs is 1.04 eV per formula unit. Its formation energy from the elements is 1.24 eV/atom.

```
K2SrMo
1.0
13.787 0.012 0.007
13.202 3.973 0.007
13.202 1.949 3.462
K Sr Mo
2 1 1
Direct
0.988 0.988 0.988
0.512 0.512 0.512
0.750 0.750 0.750
0.250 0.250 0.250
```

---

(16)
First-principles (PBE) data for a geometry-optimized KSr3Mo structure, as listed in Alexandria via LeMat-Bulk.

Properties
Its relative energy among the computed polymorphs is 4.57 eV per formula unit. Its formation energy from the elements is 1.62 eV/atom.

```
KSr3Mo
1.0
-3.043 -4.981 2.350
5.120 -3.548 -0.889
2.029 1.482 5.769
Mo Sr K
1 3 1
Direct
0.500 0.500 0.500
0.000 0.500 0.000
0.000 0.000 0.500
0.500 0.000 0.000
0.000 0.000 0.000
```

---

(17)
First-principles (PBE) data for a geometry-optimized KSr4Mo structure, as listed in Alexandria via LeMat-Bulk.

Properties
Its formation energy from the elements is 0.96 eV/atom.

```
KSr4Mo
1.0
6.504 -3.636 1.496
0.533 -7.485 -1.205
4.279 -2.636 -5.702
Sr Mo K
4 1 1
Direct
0.374 0.374 0.877
0.877 0.374 0.374
0.374 0.877 0.374
0.374 0.374 0.374
0.000 0.000 0.000
0.750 0.750 0.750
```

---

(18)
First-principles (PBE) data for a geometry-optimized KSrMo2 structure, as listed in Alexandria via LeMat-Bulk.

Properties
Its relative energy among the computed polymorphs is 1.38 eV per formula unit. Its formation energy from the elements is 1.05 eV/atom.

```
KSrMo2
1.0
6.144 -0.150 0.825
5.334 3.054 0.825
0.868 0.220 7.773
Mo K Sr
2 1 1
Direct
0.991 0.991 0.860
0.509 0.509 0.640
0.250 0.250 0.250
0.750 0.750 0.750
```

---

(19)
First-principles (PBE) data for a geometry-optimized K2SrMo structure, as listed in Alexandria via LeMat-Bulk.

Properties
Its relative energy among the computed polymorphs is 0.81 eV per formula unit. Its formation energy from the elements is 1.18 eV/atom.

```
K2SrMo
1.0
5.049 0.000 0.000
0.000 5.049 0.000
2.525 2.525 14.055
K Mo Sr
4 2 2
Direct
0.875 0.896 0.750
0.646 0.125 0.250
0.104 0.625 0.250
0.375 0.354 0.750
0.000 0.000 0.000
0.750 0.250 0.500
0.250 0.750 0.500
0.500 0.500 0.000
```

---

(20)
First-principles (PBE) data for a geometry-optimized KSrMo2 structure, as listed in Alexandria via LeMat-Bulk.

Properties
Its relative energy among the computed polymorphs is 2.71 eV per formula unit. Its formation energy from the elements is 1.39 eV/atom.

```
KSrMo2
1.0
2.822 0.000 0.000
0.000 2.822 0.000
0.000 0.000 11.626
K Sr Mo
1 1 2
Direct
0.500 0.500 0.750
0.500 0.500 0.250
0.000 0.000 0.016
0.000 0.000 0.484
```

---

Total energy, respectively: -2.644; -2.573; -2.456; -2.591; -2.468; -2.486; -2.556; -4.685; -5.056; -4.138; -4.698; -5.149; -4.667; -4.702; -2.438; -1.775; -2.151; -5.055; -2.495; -4.724 eV/atom.